Entry 1:
# Dy3Fe2Si3

A PBEsol-optimized structure of Dy3Fe2Si3 (SCAN, the Alexandria database).

Unit cell a=4.0348 b=5.5641 c=13.4127 alpha=90.00 beta=90.00 gamma=111.26
Fractional positions:
Fe 0.2847 0.5694 0.4196
Fe 0.7153 0.4306 0.5804
Fe 0.7153 0.4306 0.9196
Fe 0.2847 0.5694 0.0804
Dy 0.1319 0.2638 0.7500
Dy 0.5816 0.1631 0.3876
Dy 0.4184 0.8369 0.8876
Dy 0.4184 0.8369 0.6124
Dy 0.5816 0.1631 0.1124
Dy 0.8681 0.7362 0.2500
Si 0.8749 0.7499 0.0396
Si 0.8206 0.6412 0.7500
Si 0.1794 0.3588 0.2500
Si 0.1251 0.2501 0.5396
Si 0.8749 0.7499 0.4604
Si 0.1251 0.2501 0.9604

- E_tot (eV/atom) = -26.806
- uncorrected formation energy (eV/atom) = -0.59
- crystal system = orthorhombic



Entry 2:
# SmDyFe4

A PBEsol-optimized structure of SmDyFe4 (SCAN, the Alexandria database).

Unit cell a=5.0468 b=5.0468 c=5.0468 alpha=60.00 beta=60.00 gamma=60.00
Fractional positions:
Dy 0.2500 0.2500 0.2500
Fe 0.1255 0.6248 0.6248
Fe 0.6248 0.6248 0.6248
Fe 0.6248 0.6248 0.1255
Fe 0.6248 0.1255 0.6248
Sm 0.0000 0.0000 0.0000

- energy of formation from the pure elements (eV/atom) = 0.0127
- E_tot (eV/atom) = -27.447
- crystal system = cubic